[1]
Dy3Tl3Zn, optimized geometry, DFT GGA-PBE; total magnetization = 0.00 μB per formula unit; N(E_F) = 0.7669 states/eV/atom; formation energy = -2.05 eV per formula unit; uncorrected energy = -48.466 eV for the cell shown; crystal system = monoclinic; volume = 26.4 A^3/atom
1.0
5.665 -2.295 0.000
5.665 2.295 0.000
-4.898 0.000 14.241
Dy Tl Zn
6 6 2
direct
0.030 0.030 0.381
0.097 0.097 0.920
0.235 0.235 0.227
0.765 0.765 0.773
0.903 0.903 0.080
0.970 0.970 0.619
0.355 0.355 0.461
0.372 0.372 0.925
0.485 0.485 0.767
0.515 0.515 0.233
0.628 0.628 0.075
0.645 0.645 0.539
0.258 0.258 0.625
0.742 0.742 0.375

[2]
DyTlZn2, optimized geometry, DFT GGA-PBE; total magnetization = 0.00 μB per formula unit; N(E_F) = 0.7099 states/eV/atom; formation energy = -0.13 eV per formula unit; uncorrected energy = -19.287 eV for the cell shown; crystal system = orthorhombic; excess energy over the best structure of this formula in the dataset = 173 meV/atom; volume = 23.3 A^3/atom
1.0
4.650 0.000 0.000
0.000 5.855 0.000
0.000 0.000 6.840
Dy Tl Zn
2 2 4
direct
0.000 0.000 0.000
0.000 0.500 0.500
0.500 0.000 0.305
0.500 0.500 0.805
0.000 0.000 0.564
0.000 0.500 0.064
0.500 0.000 0.726
0.500 0.500 0.226

[3]
DyZrTl3, optimized geometry, DFT GGA-PBE; total magnetization = 0.00 μB per formula unit; N(E_F) = 1.0397 states/eV/atom; formation energy = 0.28 eV per formula unit; uncorrected energy = -39.942 eV for the cell shown; crystal system = hexagonal; volume = 28.1 A^3/atom
1.0
7.339 0.000 0.000
-3.670 6.356 0.000
0.000 0.000 6.016
Dy Zr Tl
2 2 6
direct
0.333 0.667 0.250
0.667 0.333 0.750
0.000 0.000 0.000
0.000 0.000 0.500
0.198 0.395 0.750
0.198 0.802 0.750
0.395 0.198 0.250
0.605 0.802 0.750
0.802 0.198 0.250
0.802 0.605 0.250

[4]
DyZrTl2, optimized geometry, DFT GGA-PBE; total magnetization = 0.00 μB per formula unit; N(E_F) = 0.8405 states/eV/atom; formation energy = -0.52 eV per formula unit; uncorrected energy = -18.405 eV for the cell shown; crystal system = tetragonal; volume = 25.1 A^3/atom
1.0
3.819 0.000 0.000
0.000 3.819 0.000
0.000 0.000 6.876
Dy Zr Tl
1 1 2
direct
0.000 0.000 0.000
0.000 0.000 0.500
0.500 0.500 0.262
0.500 0.500 0.738

[5]
DyZrTl, optimized geometry, DFT GGA-PBE; total magnetization = 0.00 μB per formula unit; N(E_F) = 1.1043 states/eV/atom; formation energy = 0.41 eV per formula unit; uncorrected energy = -30.212 eV for the cell shown; crystal system = orthorhombic; excess energy over the best structure of this formula in the dataset = 239 meV/atom; volume = 26.8 A^3/atom
1.0
0.000 4.402 6.332
2.880 0.000 6.332
2.880 4.402 0.000
Dy Zr Tl
2 2 2
direct
0.179 0.821 0.179
0.821 0.179 0.821
0.250 0.250 0.250
0.750 0.750 0.750
0.380 0.380 0.620
0.620 0.620 0.380

[6]
Dy2ZrTl3, optimized geometry, DFT GGA-PBE; total magnetization = 0.00 μB per formula unit; N(E_F) = 0.8269 states/eV/atom; formation energy = -1.30 eV per formula unit; uncorrected energy = -26.151 eV for the cell shown; crystal system = tetragonal; volume = 25.7 A^3/atom
1.0
3.516 0.000 0.000
0.000 3.516 0.000
0.000 0.000 12.465
Dy Zr Tl
2 1 3
direct
0.000 0.000 0.171
0.000 0.000 0.829
0.000 0.000 0.500
0.500 0.500 0.000
0.500 0.500 0.342
0.500 0.500 0.658

[7]
Dy2ZrTl, optimized geometry, DFT GGA-PBE; total magnetization = 0.00 μB per formula unit; N(E_F) = 1.1606 states/eV/atom; formation energy = -0.38 eV per formula unit; uncorrected energy = -20.499 eV for the cell shown; crystal system = tetragonal; excess energy over the best structure of this formula in the dataset = 28 meV/atom; volume = 26.1 A^3/atom
1.0
4.718 0.000 0.000
0.000 4.718 0.000
0.000 0.000 4.690
Dy Zr Tl
2 1 1
direct
0.000 0.500 0.000
0.500 0.000 0.000
0.000 0.000 0.500
0.500 0.500 0.500

[8]
Dy5Zr12Tl3, optimized geometry, DFT GGA-PBE; total magnetization = 0.00 μB per formula unit; N(E_F) = 1.4908 states/eV/atom; formation energy = 21.36 eV per formula unit; uncorrected energy = -445.298 eV for the cell shown; crystal system = cubic; volume = 33.0 A^3/atom
1.0
-8.711 8.711 8.711
8.711 -8.711 8.711
8.711 8.711 -8.711
Dy Zr Tl
20 48 12
direct
0.000 0.000 0.000
0.000 0.000 0.500
0.000 0.500 0.000
0.000 0.500 0.500
0.125 0.750 0.875
0.125 0.875 0.250
0.250 0.125 0.875
0.250 0.625 0.375
0.375 0.250 0.625
0.375 0.625 0.750
0.500 0.000 0.000
0.500 0.000 0.500
0.500 0.500 0.000
0.500 0.500 0.500
0.625 0.375 0.250
0.625 0.750 0.375
0.750 0.375 0.625
0.750 0.875 0.125
0.875 0.125 0.750
0.875 0.250 0.125
0.072 0.655 0.426
0.072 0.916 0.646
0.074 0.729 0.646
0.074 0.845 0.428
0.084 0.229 0.155
0.084 0.354 0.928
0.146 0.229 0.574
0.146 0.416 0.572
0.155 0.084 0.229
0.155 0.572 0.926
0.229 0.155 0.084
0.229 0.574 0.146
0.271 0.354 0.926
0.271 0.416 0.345
0.345 0.271 0.416
0.345 0.574 0.928
0.354 0.926 0.271
0.354 0.928 0.084
0.416 0.345 0.271
0.416 0.572 0.146
0.426 0.072 0.655
0.426 0.854 0.771
0.428 0.074 0.845
0.428 0.854 0.584
0.572 0.146 0.416
0.572 0.926 0.155
0.574 0.146 0.229
0.574 0.928 0.345
0.584 0.428 0.854
0.584 0.655 0.729
0.646 0.072 0.916
0.646 0.074 0.729
0.655 0.426 0.072
0.655 0.729 0.584
0.729 0.584 0.655
0.729 0.646 0.074
0.771 0.426 0.854
0.771 0.845 0.916
0.845 0.428 0.074
0.845 0.916 0.771
0.854 0.584 0.428
0.854 0.771 0.426
0.916 0.646 0.072
0.916 0.771 0.845
0.926 0.155 0.572
0.926 0.271 0.354
0.928 0.084 0.354
0.928 0.345 0.574
0.125 0.250 0.375
0.125 0.375 0.750
0.250 0.375 0.125
0.250 0.875 0.625
0.375 0.125 0.250
0.375 0.750 0.125
0.625 0.250 0.875
0.625 0.875 0.750
0.750 0.125 0.375
0.750 0.625 0.875
0.875 0.625 0.250
0.875 0.750 0.625

[9]
Dy2ZrTl, optimized geometry, DFT GGA-PBE; total magnetization = 0.00 μB per formula unit; N(E_F) = 1.1071 states/eV/atom; formation energy = -0.49 eV per formula unit; uncorrected energy = -20.613 eV for the cell shown; crystal system = tetragonal; excess energy over the best structure of this formula in the dataset = 0 meV/atom; volume = 27.3 A^3/atom
1.0
3.456 0.000 0.000
0.000 3.456 0.000
0.000 0.000 9.158
Dy Zr Tl
2 1 1
direct
0.000 0.000 0.249
0.000 0.000 0.751
0.500 0.500 0.500
0.500 0.500 0.000

[10]
DyZr7Tl4, optimized geometry, DFT GGA-PBE; total magnetization = 0.91 μB per formula unit; N(E_F) = 1.1141 states/eV/atom; formation energy = 2.86 eV per formula unit; uncorrected energy = -71.041 eV for the cell shown; crystal system = monoclinic; volume = 25.1 A^3/atom
1.0
5.746 -2.730 0.000
5.746 2.730 0.000
-5.730 0.000 9.594
Dy Zr Tl
1 7 4
direct
0.000 0.000 0.000
0.036 0.036 0.378
0.219 0.219 0.903
0.353 0.353 0.445
0.500 0.500 0.000
0.647 0.647 0.555
0.781 0.781 0.097
0.964 0.964 0.622
0.285 0.285 0.677
0.407 0.407 0.218
0.593 0.593 0.782
0.715 0.715 0.323

[11]
DyZrTl2, optimized geometry, DFT GGA-PBE; total magnetization = 0.07 μB per formula unit; N(E_F) = 1.0373 states/eV/atom; formation energy = -0.57 eV per formula unit; uncorrected energy = -18.455 eV for the cell shown; crystal system = tetragonal; volume = 24.9 A^3/atom
1.0
4.815 0.000 0.000
0.000 4.815 0.000
0.000 0.000 4.300
Dy Zr Tl
1 1 2
direct
0.000 0.000 0.000
0.500 0.500 0.000
0.000 0.500 0.500
0.500 0.000 0.500

[12]
Dy2ZrTl, optimized geometry, DFT GGA-PBE; total magnetization = 0.73 μB per formula unit; N(E_F) = 1.9687 states/eV/atom; formation energy = 0.31 eV per formula unit; uncorrected energy = -79.253 eV for the cell shown; crystal system = cubic; excess energy over the best structure of this formula in the dataset = 200 meV/atom; volume = 26.1 A^3/atom
1.0
7.472 0.000 0.000
0.000 7.472 0.000
0.000 0.000 7.472
Dy Zr Tl
8 4 4
direct
0.000 0.000 0.000
0.000 0.500 0.500
0.250 0.250 0.250
0.250 0.750 0.750
0.500 0.000 0.500
0.500 0.500 0.000
0.750 0.250 0.750
0.750 0.750 0.250
0.250 0.250 0.750
0.250 0.750 0.250
0.750 0.250 0.250
0.750 0.750 0.750
0.000 0.000 0.500
0.000 0.500 0.000
0.500 0.000 0.000
0.500 0.500 0.500

[13]
DyZrTl, optimized geometry, DFT GGA-PBE; total magnetization = 0.00 μB per formula unit; N(E_F) = 1.4145 states/eV/atom; formation energy = 0.62 eV per formula unit; uncorrected energy = -14.899 eV for the cell shown; crystal system = hexagonal; excess energy over the best structure of this formula in the dataset = 308 meV/atom; volume = 25.0 A^3/atom
1.0
5.239 0.000 0.000
-2.619 4.537 0.000
0.000 0.000 3.159
Dy Zr Tl
1 1 1
direct
0.000 0.000 0.000
0.667 0.333 0.000
0.333 0.667 0.500

[14]
Dy2ZrTl, optimized geometry, DFT GGA-PBE; total magnetization = 0.00 μB per formula unit; N(E_F) = 1.2723 states/eV/atom; formation energy = 0.97 eV per formula unit; uncorrected energy = -57.436 eV for the cell shown; crystal system = trigonal; excess energy over the best structure of this formula in the dataset = 367 meV/atom; volume = 28.2 A^3/atom
1.0
3.334 0.000 0.000
-1.667 2.888 0.000
0.000 0.000 35.107
Dy Zr Tl
6 3 3
direct
0.000 0.000 0.090
0.000 0.000 0.910
0.333 0.667 0.577
0.333 0.667 0.756
0.667 0.333 0.244
0.667 0.333 0.423
0.000 0.000 0.000
0.333 0.667 0.667
0.667 0.333 0.333
0.000 0.000 0.500
0.333 0.667 0.167
0.667 0.333 0.833

[15]
DyZr4Tl5, optimized geometry, DFT GGA-PBE; total magnetization = 0.53 μB per formula unit; N(E_F) = 0.8999 states/eV/atom; formation energy = -1.06 eV per formula unit; uncorrected energy = -51.684 eV for the cell shown; crystal system = tetragonal; volume = 23.6 A^3/atom
1.0
3.258 0.000 0.000
0.000 3.258 0.000
0.000 0.000 22.217
Dy Zr Tl
1 4 5
direct
0.000 0.000 0.000
0.000 0.000 0.206
0.000 0.000 0.402
0.000 0.000 0.598
0.000 0.000 0.794
0.500 0.500 0.107
0.500 0.500 0.304
0.500 0.500 0.500
0.500 0.500 0.696
0.500 0.500 0.893

[16]
Dy5ZrTl4, optimized geometry, DFT GGA-PBE; total magnetization = 0.18 μB per formula unit; N(E_F) = 0.8510 states/eV/atom; formation energy = -2.57 eV per formula unit; uncorrected energy = -43.595 eV for the cell shown; crystal system = tetragonal; volume = 27.3 A^3/atom
1.0
3.572 0.000 0.000
0.000 3.572 0.000
0.000 0.000 21.423
Dy Zr Tl
5 1 4
direct
0.000 0.000 0.000
0.000 0.000 0.199
0.000 0.000 0.397
0.000 0.000 0.603
0.000 0.000 0.801
0.500 0.500 0.500
0.500 0.500 0.099
0.500 0.500 0.297
0.500 0.500 0.703
0.500 0.500 0.901

[17]
Dy5ZrTl6, optimized geometry, DFT GGA-PBE; total magnetization = 0.00 μB per formula unit; N(E_F) = 0.4267 states/eV/atom; formation energy = -3.18 eV per formula unit; uncorrected energy = -48.933 eV for the cell shown; crystal system = monoclinic; volume = 26.5 A^3/atom
1.0
4.571 -7.999 0.000
4.571 7.999 0.000
-3.102 0.000 4.341
Dy Zr Tl
5 1 6
direct
0.000 0.000 0.000
0.167 0.833 0.500
0.335 0.665 0.000
0.665 0.335 0.000
0.833 0.167 0.500
0.500 0.500 0.500
0.088 0.417 0.253
0.256 0.256 0.756
0.417 0.088 0.253
0.583 0.912 0.747
0.744 0.744 0.244
0.912 0.583 0.747

[18]
DyZrTl, optimized geometry, DFT GGA-PBE; total magnetization = 0.00 μB per formula unit; N(E_F) = 0.7732 states/eV/atom; formation energy = -0.31 eV per formula unit; uncorrected energy = -31.649 eV for the cell shown; crystal system = tetragonal; excess energy over the best structure of this formula in the dataset = 0 meV/atom; volume = 26.1 A^3/atom
1.0
3.480 0.000 0.000
0.000 3.480 0.000
0.000 0.000 12.914
Dy Zr Tl
2 2 2
direct
0.000 0.000 0.000
0.500 0.500 0.500
0.000 0.000 0.326
0.500 0.500 0.826
0.000 0.000 0.672
0.500 0.500 0.172

[19]
Dy7Tm3, optimized geometry, DFT GGA-PBE; total magnetization = 0.00 μB per formula unit; N(E_F) = 1.2056 states/eV/atom; formation energy = 0.17 eV per formula unit; uncorrected energy = -45.455 eV for the cell shown; crystal system = monoclinic; excess energy over the best structure of this formula in the dataset = 0 meV/atom; volume = 30.8 A^3/atom
1.0
8.964 -2.483 0.000
8.964 2.483 0.000
-1.385 0.000 6.913
Dy Tm
7 3
direct
0.000 0.000 0.000
0.200 0.200 0.600
0.400 0.400 0.199
0.400 0.400 0.700
0.600 0.600 0.300
0.600 0.600 0.801
0.800 0.800 0.400
0.000 0.000 0.500
0.200 0.200 0.100
0.800 0.800 0.900

[20]
DyTm, optimized geometry, DFT GGA-PBE; total magnetization = 0.00 μB per formula unit; N(E_F) = 1.8979 states/eV/atom; formation energy = 0.26 eV per formula unit; uncorrected energy = -8.815 eV for the cell shown; crystal system = cubic; excess energy over the best structure of this formula in the dataset = 109 meV/atom; volume = 31.0 A^3/atom
1.0
3.958 0.000 0.000
0.000 3.958 0.000
0.000 0.000 3.958
Dy Tm
1 1
direct
0.000 0.000 0.000
0.500 0.500 0.500

[21]
Dy4Tm, optimized geometry, DFT GGA-PBE; total magnetization = 0.00 μB per formula unit; N(E_F) = 1.3530 states/eV/atom; formation energy = 0.10 eV per formula unit; uncorrected energy = -45.560 eV for the cell shown; crystal system = monoclinic; excess energy over the best structure of this formula in the dataset = 0 meV/atom; volume = 30.9 A^3/atom
1.0
6.103 0.000 0.000
0.000 3.528 0.000
-1.998 0.000 14.336
Dy Tm
8 2
direct
0.100 0.000 0.302
0.201 0.500 0.100
0.299 0.000 0.900
0.400 0.500 0.698
0.600 0.500 0.302
0.701 0.000 0.100
0.799 0.500 0.900
0.900 0.000 0.698
0.000 0.500 0.500
0.500 0.000 0.500

[22]
Dy2Tm3, optimized geometry, DFT GGA-PBE; total magnetization = 0.00 μB per formula unit; N(E_F) = 1.6463 states/eV/atom; formation energy = 0.00 eV per formula unit; uncorrected energy = -45.245 eV for the cell shown; crystal system = monoclinic; excess energy over the best structure of this formula in the dataset = 0 meV/atom; volume = 30.8 A^3/atom
1.0
5.841 -3.098 0.000
5.841 3.098 0.000
-3.096 0.000 8.515
Dy Tm
4 6
direct
0.068 0.733 0.550
0.267 0.932 0.950
0.733 0.068 0.050
0.932 0.267 0.450
0.133 0.465 0.850
0.335 0.665 0.250
0.465 0.133 0.350
0.535 0.867 0.650
0.665 0.335 0.750
0.867 0.535 0.150